(1)
The following is a PBE-GGA calculation of a relaxed Zn2SnBi crystal, from Alexandria.

Calculated values
Its crystal system is trigonal. For the energy of formation, the calculation gives 164 meV per atom. The space group is No. 166. The calculation puts the offset from the most stable computed form at 0.034 eV/atom.

Structure (POSCAR):
```
Zn2SnBi
1.0
2.037 1.176 6.712
-2.037 1.176 6.712
0.000 -2.352 6.712
Zn Sn Bi
2 1 1
Cartesian
0.000 0.000 4.972
0.000 0.000 15.162
0.000 0.000 10.067
0.000 0.000 0.000
```

---

(2)
The following is a PBE-GGA calculation of a relaxed RbNa4As4 crystal, from Alexandria.

Calculated values
Its crystal system is tetragonal. For the energy of formation, the calculation gives -270 meV per atom. The space group is No. 86.

Structure (POSCAR):
```
RbNa4As4
1.0
9.741 0.000 0.000
0.000 9.741 0.000
0.000 0.000 5.811
Rb Na As
2 8 8
Cartesian
2.435 2.435 1.453
7.306 7.306 4.358
1.149 8.560 3.564
1.181 6.019 0.659
3.690 8.593 0.659
3.722 6.051 3.564
6.019 3.690 2.247
6.051 1.149 5.152
8.560 3.722 5.152
8.593 1.181 2.247
0.520 8.921 0.677
0.820 5.390 3.582
4.051 9.221 3.582
4.351 5.691 0.677
5.390 4.051 5.134
5.691 0.520 2.229
8.921 4.351 2.229
9.221 0.820 5.134
```

---

(3)
The following is a PBE-GGA calculation of a relaxed SiSn2Se4 crystal, from Alexandria.

Calculated values
Its crystal system is monoclinic. The space group is No. 8. As for the formation energy (no corrections): -0.39 eV/atom. The calculation puts the offset from the most stable computed form at 0.016 eV/atom.

Structure (POSCAR):
```
SiSn2Se4
1.0
5.034 -3.900 0.000
5.034 3.900 0.000
-3.230 0.000 5.609
Si Sn Se
1 2 4
Cartesian
0.000 0.000 0.000
2.165 1.793 2.578
2.165 -1.793 2.578
-1.016 0.000 2.104
2.893 1.910 5.561
5.580 0.000 3.622
2.893 -1.910 5.561
```

---

(4)
The following is a PBE-GGA calculation of a relaxed RbBa4Zr3O12 crystal, from Alexandria.

Calculated values
Its crystal system is cubic. The space group is No. 229. As for the formation energy (no corrections): -2.53 eV/atom.

Structure (POSCAR):
```
RbBa4Zr3O12
1.0
-4.383 4.383 4.383
4.383 -4.383 4.383
4.383 4.383 -4.383
Rb Ba Zr O
1 4 3 12
Cartesian
0.000 0.000 0.000
2.191 2.191 -2.191
2.191 -2.191 2.191
-2.191 2.191 2.191
2.191 2.191 2.191
4.383 0.000 0.000
0.000 4.383 0.000
0.000 0.000 4.383
2.390 0.000 0.000
6.376 0.000 0.000
4.383 2.191 0.000
4.383 0.000 2.191
0.000 2.390 0.000
0.000 0.000 2.390
2.191 4.383 0.000
2.191 0.000 4.383
0.000 6.376 0.000
0.000 0.000 6.376
0.000 4.383 2.191
0.000 2.191 4.383
```

---

(5)
The following is a PBE-GGA calculation of a relaxed Ba2TbBe2O6 crystal, from Alexandria.

Calculated values
Its crystal system is trigonal. The space group is No. 166. As for the formation energy (no corrections): -2.68 eV/atom.

Structure (POSCAR):
```
Ba2TbBe2O6
1.0
2.858 1.650 5.820
-2.858 1.650 5.820
0.000 -3.300 5.820
Ba Tb Be O
2 1 2 6
Cartesian
0.000 0.000 3.793
0.000 0.000 13.665
0.000 0.000 0.000
0.000 0.000 7.322
0.000 0.000 10.137
0.000 -1.545 7.270
-1.338 0.772 7.270
-1.338 -0.772 10.189
1.338 0.772 7.270
1.338 -0.772 10.189
0.000 1.545 10.189
```

---

(6)
The following is a PBE-GGA calculation of a relaxed BaSiRu2 crystal, from Alexandria.

Calculated values
Its crystal system is tetragonal. The space group is No. 122. As for the formation energy (no corrections): 0.18 eV/atom.

Structure (POSCAR):
```
BaSiRu2
1.0
-2.473 2.473 8.222
2.473 -2.473 8.222
2.473 2.473 -8.222
Ba Si Ru
2 2 4
Cartesian
0.000 0.000 0.000
0.000 2.473 4.111
2.473 0.000 4.111
0.000 0.000 8.222
1.237 2.402 -2.055
2.544 1.237 2.055
1.237 0.071 6.166
-0.071 1.237 10.277
```

---

(7)
The following is a PBE-GGA calculation of a relaxed La2ZnAg2Pd5 crystal, from Alexandria.

Calculated values
Its crystal system is tetragonal. For the energy of formation, the calculation gives -471 meV per atom. The space group is No. 127.

Structure (POSCAR):
```
La2ZnAg2Pd5
1.0
9.962 0.000 0.000
0.000 9.962 0.000
0.000 0.000 3.969
La Zn Ag Pd
4 2 4 10
Cartesian
1.729 3.252 0.000
3.252 8.233 0.000
6.710 1.729 0.000
8.233 6.710 0.000
0.000 0.000 0.000
4.981 4.981 0.000
1.269 6.250 0.000
3.712 1.269 0.000
6.250 8.693 0.000
8.693 3.712 0.000
0.000 4.981 1.984
0.499 8.024 1.984
1.938 0.499 1.984
3.043 5.480 1.984
4.482 3.043 1.984
4.981 0.000 1.984
5.480 6.919 1.984
6.919 4.482 1.984
8.024 9.463 1.984
9.463 1.938 1.984
```

---

(8)
The following is a PBE-GGA calculation of a relaxed CuNi8Pt2 crystal, from Alexandria.

Calculated values
Its crystal system is monoclinic. For the energy of formation, the calculation gives -20 meV per atom. The space group is No. 12. The calculation puts the offset from the most stable computed form at 0.000 eV/atom.

Structure (POSCAR):
```
CuNi8Pt2
1.0
6.505 -1.827 0.000
6.505 1.827 0.000
-1.593 0.000 5.530
Cu Ni Pt
1 8 2
Cartesian
0.000 0.000 0.000
0.397 0.000 2.499
0.855 0.000 5.028
3.463 0.000 4.570
5.531 0.000 1.517
5.886 0.000 4.013
7.955 0.000 0.960
10.562 0.000 0.503
11.021 0.000 3.032
3.022 0.000 1.955
8.395 0.000 3.575
```

---

(9)
The following is a PBE-GGA calculation of a relaxed OsWSeS2 crystal, from Alexandria.

Calculated values
Its crystal system is tetragonal. The space group is No. 123. As for the formation energy (no corrections): 2.05 eV/atom.

Structure (POSCAR):
```
OsWSeS2
1.0
4.524 0.000 0.000
0.000 4.524 0.000
0.000 0.000 4.674
Os W Se S
1 1 1 2
Cartesian
0.000 0.000 0.000
2.262 2.262 0.000
0.000 0.000 2.337
0.000 2.262 2.337
2.262 0.000 2.337
```

---

(10)
The following is a PBE-GGA calculation of a relaxed La2YSi crystal, from Alexandria.

Calculated values
Its crystal system is orthorhombic. The space group is No. 44. As for the formation energy (no corrections): -0.30 eV/atom.

Structure (POSCAR):
```
La2YSi
1.0
-2.000 2.625 5.692
2.000 -2.625 5.692
2.000 2.625 -5.692
La Y Si
2 1 1
Cartesian
0.000 0.000 0.000
0.000 2.625 2.251
2.000 0.000 3.383
0.000 0.000 5.523
```

---

(11)
The following is a PBE-GGA calculation of a relaxed Tm5MgHg4 crystal, from Alexandria.

Calculated values
Its crystal system is tetragonal. For the energy of formation, the calculation gives -395 meV per atom. The space group is No. 123.

Structure (POSCAR):
```
Tm5MgHg4
1.0
3.694 0.000 0.000
0.000 3.694 0.000
0.000 0.000 18.346
Tm Mg Hg
5 1 4
Cartesian
0.000 0.000 0.000
0.000 0.000 3.651
0.000 0.000 7.276
0.000 0.000 11.070
0.000 0.000 14.695
1.847 1.847 9.173
1.847 1.847 1.824
1.847 1.847 5.540
1.847 1.847 12.806
1.847 1.847 16.522
```

---

(12)
The following is a PBE-GGA calculation of a relaxed V3Ni3Rh2 crystal, from Alexandria.

Calculated values
Its crystal system is trigonal. For the energy of formation, the calculation gives -203 meV per atom. The space group is No. 155. The calculation puts the offset from the most stable computed form at 0.030 eV/atom.

Structure (POSCAR):
```
V3Ni3Rh2
1.0
3.278 1.893 2.747
-3.278 1.893 2.747
0.000 -3.785 2.747
V Ni Rh
3 3 2
Cartesian
-2.437 0.436 2.747
0.841 -2.328 2.747
1.596 1.893 2.747
-0.788 -1.365 4.121
-0.788 1.365 4.121
1.576 0.000 4.121
0.000 0.000 2.060
0.000 0.000 6.182
```